1.
The following is a PBEsol calculation of a geometry-optimized ReSb2Pb structure, from Alexandria via LeMat-Bulk.

* E_form (uncorrected): 0.428 eV per atom
* calculated volume: 24.85 A^3/atom
* magnetic moment: 0.00 μB/f.u.
* symmetry: Imm2 (44)
* DOS(E_F): 0.498 states/eV/atom
* theoretical density: 10.64 g/cm3

abc: 8.0500 8.0500 8.0500
angles: 156.72 151.14 37.41
Atoms (fractional coordinates):
Re 0.0000 0.0000 0.0000
Sb 0.1373 0.6373 0.5000
Sb 0.4425 0.4425 0.0000
Pb 0.7855 0.2855 0.5000

2.
The following is a PBEsol calculation of a geometry-optimized La8Ni4O17 structure, from Alexandria via LeMat-Bulk.

* E_form (uncorrected): -2.625 eV per atom
* calculated volume: 12.60 A^3/atom
* magnetic moment: 0.32 μB/f.u.
* symmetry: P1 (1)
* DOS(E_F): 0.207 states/eV/atom
* theoretical density: 7.35 g/cm3

abc: 6.7519 7.7250 8.5441
angles: 116.33 97.19 106.80
Atoms (fractional coordinates):
La 0.0000 0.0000 0.0000
La 0.0043 0.5019 0.9905
La 0.4274 0.0397 0.3526
La 0.4327 0.7898 0.8583
La 0.4374 0.5373 0.3509
La 0.4447 0.2969 0.8603
La 0.9867 0.2526 0.4941
La 0.9928 0.7601 0.5022
Ni 0.7122 0.0211 0.6769
Ni 0.7166 0.5213 0.6727
Ni 0.7177 0.2743 0.1750
Ni 0.7218 0.7731 0.1831
O 0.0473 0.6194 0.7025
O 0.0513 0.1446 0.7573
O 0.0525 0.9447 0.3247
O 0.0552 0.3801 0.2610
O 0.2144 0.8321 0.0530
O 0.3759 0.8984 0.5974
O 0.3782 0.4056 0.6054
O 0.3865 0.2015 0.0905
O 0.3868 0.5854 0.0852
O 0.6855 0.8889 0.4220
O 0.6880 0.3838 0.4167
O 0.7021 0.0151 0.1719
O 0.7071 0.1396 0.9238
O 0.7239 0.7749 0.6779
O 0.7250 0.2778 0.6823
O 0.7319 0.6548 0.9312
O 0.7620 0.5373 0.1855

3.
The following is a PBEsol calculation of a geometry-optimized MnAg3Hg structure, from Alexandria via LeMat-Bulk.

* calculated volume: 22.73 A^3/atom
* DFT formation energy: 0.995 eV per atom
* magnetic moment: 4.38 μB/f.u.
* symmetry: Pm-3m (221)
* DOS(E_F): 0.697 states/eV/atom
* theoretical density: 8.46 g/cm3

abc: 4.8441 4.8441 4.8441
angles: 90.00 90.00 90.00
Atoms (fractional coordinates):
Mn 0.0000 0.0000 0.0000
Ag 0.0000 0.0000 0.5000
Ag 0.0000 0.5000 0.0000
Ag 0.5000 0.0000 0.0000
Hg 0.5000 0.5000 0.5000

4.
The following is a PBEsol calculation of a geometry-optimized Ag3Pb structure, from Alexandria via LeMat-Bulk.

* calculated volume: 19.20 A^3/atom
* DFT formation energy: 0.114 eV per atom
* magnetic moment: 0.00 μB/f.u.
* symmetry: Imm2 (44)
* DOS(E_F): 0.353 states/eV/atom
* theoretical density: 11.47 g/cm3

abc: 5.6544 5.6544 5.6544
angles: 147.75 63.95 126.41
Atoms (fractional coordinates):
Ag 0.0000 0.0000 0.0000
Ag 0.3865 0.6465 0.7400
Ag 0.9064 0.6465 0.2600
Pb 0.5109 0.0109 0.5000

5.
The following is a PBEsol calculation of a geometry-optimized SrCrSBr2 structure, from Alexandria via LeMat-Bulk.

* E_form (uncorrected): 0.149 eV per atom
* calculated volume: 32.80 A^3/atom
* magnetic moment: 5.76 μB/f.u.
* symmetry: P4/mmm (123)
* DOS(E_F): 0.751 states/eV/atom
* theoretical density: 3.36 g/cm3

abc: 5.5282 5.5282 5.3660
angles: 90.00 90.00 90.00
Atoms (fractional coordinates):
Sr 0.0000 0.0000 0.0000
Cr 0.5000 0.5000 0.0000
S 0.0000 0.0000 0.5000
Br 0.0000 0.5000 0.5000
Br 0.5000 0.0000 0.5000

6.
The following is a PBEsol calculation of a geometry-optimized Y5BiPd2 structure, from Alexandria via LeMat-Bulk.

* calculated volume: 25.30 A^3/atom
* DFT formation energy: -0.720 eV per atom
* magnetic moment: 0.00 μB/f.u.
* symmetry: I4/mcm (140)
* DOS(E_F): 0.843 states/eV/atom
* theoretical density: 7.11 g/cm3

abc: 8.7062 8.7062 8.7062
angles: 127.30 127.30 77.76
Atoms (fractional coordinates):
Y 0.0000 0.0000 0.0000
Y 0.0151 0.5151 0.8109
Y 0.2042 0.0151 0.5000
Y 0.2958 0.7958 0.8109
Y 0.4849 0.2958 0.5000
Y 0.5000 0.5000 0.0000
Y 0.5151 0.7042 0.5000
Y 0.7042 0.2042 0.1891
Y 0.7958 0.9849 0.5000
Y 0.9849 0.4849 0.1891
Bi 0.2500 0.2500 0.0000
Bi 0.7500 0.7500 0.0000
Pd 0.1354 0.3646 0.5000
Pd 0.3646 0.8646 0.2291
Pd 0.6354 0.1354 0.7709
Pd 0.8646 0.6354 0.5000